*a*
The following is a PBE calculation of Eu2TmAg after structural relaxation, from the Alexandria database.

Calculated values
SG: R-3m (166)
V: 32.99 Å³/atom

abc: 3.557 3.557 36.134
angles: 90.00 90.00 120.00
Positions (direct):
1 Eu 0.000 0.000 0.084
2 Eu 0.000 0.000 0.916
3 Eu 0.333 0.667 0.583
4 Eu 0.333 0.667 0.750
5 Eu 0.667 0.333 0.250
6 Eu 0.667 0.333 0.417
7 Tm 0.000 0.000 0.500
8 Tm 0.333 0.667 0.167
9 Tm 0.667 0.333 0.833
10 Ag 0.000 0.000 0.000
11 Ag 0.333 0.667 0.667
12 Ag 0.667 0.333 0.333



*b*
The following is a PBE calculation of Eu2TmAg after structural relaxation, from the Alexandria database.

Calculated values
SG: P4/mmm (123)
V: 31.75 Å³/atom

abc: 3.756 3.756 9.001
angles: 90.00 90.00 90.00
Positions (direct):
1 Eu 0.000 0.000 0.212
2 Eu 0.000 0.000 0.788
3 Tm 0.500 0.500 0.500
4 Ag 0.500 0.500 0.000



Most stable of them? *b*.



*a*
The following is a PBE calculation of EuTm2Ag after structural relaxation, from the Alexandria database.

Calculated values
SG: R-3m (166)
V: 29.74 Å³/atom

abc: 3.604 3.604 31.731
angles: 90.00 90.00 120.00
Positions (direct):
1 Eu 0.000 0.000 0.000
2 Eu 0.333 0.667 0.667
3 Eu 0.667 0.333 0.333
4 Tm 0.000 0.000 0.237
5 Tm 0.000 0.000 0.763
6 Tm 0.333 0.667 0.430
7 Tm 0.333 0.667 0.904
8 Tm 0.667 0.333 0.096
9 Tm 0.667 0.333 0.570
10 Ag 0.000 0.000 0.500
11 Ag 0.333 0.667 0.167
12 Ag 0.667 0.333 0.833



*b*
The following is a PBE calculation of EuTm2Ag after structural relaxation, from the Alexandria database.

Calculated values
SG: P4/mmm (123)
V: 29.14 Å³/atom

abc: 3.613 3.613 8.929
angles: 90.00 90.00 90.00
Positions (direct):
1 Eu 0.000 0.000 0.000
2 Tm 0.500 0.500 0.304
3 Tm 0.500 0.500 0.696
4 Ag 0.000 0.000 0.500



Most stable of them? *b*.



*a*
The following is a PBE calculation of EuTmAg after structural relaxation, from the Alexandria database.

Calculated values
SG: P3m1 (156)
V: 29.15 Å³/atom

abc: 5.104 5.104 3.876
angles: 90.00 90.00 120.00
Positions (direct):
1 Eu 0.000 0.000 0.000
2 Tm 0.333 0.667 0.489
3 Ag 0.667 0.333 0.540



*b*
The following is a PBE calculation of EuTmAg after structural relaxation, from the Alexandria database.

Calculated values
SG: I4mm (107)
V: 29.15 Å³/atom

abc: 3.673 3.673 12.965
angles: 90.00 90.00 90.00
Positions (direct):
1 Eu 0.000 0.000 0.000
2 Eu 0.500 0.500 0.500
3 Tm 0.000 0.000 0.283
4 Tm 0.500 0.500 0.783
5 Ag 0.000 0.000 0.664
6 Ag 0.500 0.500 0.164



Most stable of them? *b*.



*a*
The following is a PBE calculation of EuY2Ag after structural relaxation, from the Alexandria database.

Calculated values
SG: P4/mmm (123)
V: 30.40 Å³/atom

abc: 3.661 3.661 9.072
angles: 90.00 90.00 90.00
Positions (direct):
1 Eu 0.000 0.000 0.000
2 Y 0.500 0.500 0.303
3 Y 0.500 0.500 0.697
4 Ag 0.000 0.000 0.500



*b*
The following is a PBE calculation of EuY2Ag after structural relaxation, from the Alexandria database.

Calculated values
SG: R-3m (166)
V: 31.53 Å³/atom

abc: 3.564 3.564 34.392
angles: 90.00 90.00 120.00
Positions (direct):
1 Eu 0.000 0.000 0.000
2 Eu 0.333 0.667 0.667
3 Eu 0.667 0.333 0.333
4 Y 0.000 0.000 0.100
5 Y 0.000 0.000 0.900
6 Y 0.333 0.667 0.567
7 Y 0.333 0.667 0.767
8 Y 0.667 0.333 0.233
9 Y 0.667 0.333 0.433
10 Ag 0.000 0.000 0.500
11 Ag 0.333 0.667 0.167
12 Ag 0.667 0.333 0.833



Most stable of them? *a*.



*a*
The following is a PBE calculation of AgF after structural relaxation, from the Alexandria database.

Calculated values
SG: F-43m (216)
V: 20.43 Å³/atom

abc: 5.468 5.468 5.468
angles: 90.00 90.00 90.00
Positions (direct):
1 Ag 0.000 0.000 0.000
2 Ag 0.000 0.500 0.500
3 Ag 0.500 0.000 0.500
4 Ag 0.500 0.500 0.000
5 F 0.250 0.250 0.750
6 F 0.250 0.750 0.250
7 F 0.750 0.250 0.250
8 F 0.750 0.750 0.750



*b*
The following is a PBE calculation of AgF after structural relaxation, from the Alexandria database.

Calculated values
SG: Cmcm (63)
V: 15.13 Å³/atom

abc: 3.236 5.630 6.646
angles: 90.00 90.00 90.00
Positions (direct):
1 Ag 0.000 0.168 0.250
2 Ag 0.000 0.832 0.750
3 Ag 0.500 0.332 0.750
4 Ag 0.500 0.668 0.250
5 F 0.000 0.500 0.000
6 F 0.000 0.500 0.500
7 F 0.500 0.000 0.000
8 F 0.500 0.000 0.500



*c*
The following is a PBE calculation of AgF after structural relaxation, from the Alexandria database.

Calculated values
SG: P6_3/mcm (193)
V: 16.95 Å³/atom

abc: 6.687 6.687 5.253
angles: 90.00 90.00 120.00
Positions (direct):
1 Ag 0.000 0.257 0.250
2 Ag 0.000 0.743 0.750
3 Ag 0.257 0.000 0.250
4 Ag 0.257 0.257 0.750
5 Ag 0.743 0.000 0.750
6 Ag 0.743 0.743 0.250
7 F 0.000 0.389 0.750
8 F 0.000 0.611 0.250
9 F 0.389 0.000 0.750
10 F 0.389 0.389 0.250
11 F 0.611 0.000 0.250
12 F 0.611 0.611 0.750



*d*
The following is a PBE calculation of AgF after structural relaxation, from the Alexandria database.

Calculated values
SG: P6_3/mmc (194)
V: 19.02 Å³/atom

abc: 4.199 4.199 4.983
angles: 90.00 90.00 120.00
Positions (direct):
1 Ag 0.333 0.667 0.250
2 Ag 0.667 0.333 0.750
3 F 0.333 0.667 0.750
4 F 0.667 0.333 0.250



Most stable of them? *b*.



*a*
The following is a PBE calculation of AgF after structural relaxation, from the Alexandria database.

Calculated values
SG: P2_12_12_1 (19)
V: 15.37 Å³/atom

abc: 5.006 5.008 9.812
angles: 90.00 90.00 90.00
Positions (direct):
1 Ag 0.205 0.025 0.026
2 Ag 0.212 0.456 0.252
3 Ag 0.288 0.544 0.752
4 Ag 0.295 0.975 0.526
5 Ag 0.705 0.475 0.974
6 Ag 0.712 0.044 0.748
7 Ag 0.788 0.956 0.248
8 Ag 0.795 0.525 0.474
9 F 0.201 0.528 0.002
10 F 0.208 0.048 0.775
11 F 0.292 0.952 0.275
12 F 0.299 0.472 0.502
13 F 0.701 0.972 0.998
14 F 0.708 0.452 0.225
15 F 0.792 0.548 0.725
16 F 0.799 0.028 0.498



*b*
The following is a PBE calculation of AgF after structural relaxation, from the Alexandria database.

Calculated values
SG: I-43m (217)
V: 24.98 Å³/atom

abc: 7.366 7.366 7.366
angles: 90.00 90.00 90.00
Positions (direct):
1 Ag 0.176 0.176 0.824
2 Ag 0.176 0.824 0.176
3 Ag 0.324 0.324 0.324
4 Ag 0.324 0.676 0.676
5 Ag 0.676 0.324 0.676
6 Ag 0.676 0.676 0.324
7 Ag 0.824 0.176 0.176
8 Ag 0.824 0.824 0.824
9 F 0.150 0.150 0.150
10 F 0.150 0.850 0.850
11 F 0.350 0.350 0.650
12 F 0.350 0.650 0.350
13 F 0.650 0.350 0.350
14 F 0.650 0.650 0.650
15 F 0.850 0.150 0.850
16 F 0.850 0.850 0.150



*c*
The following is a PBE calculation of AgF after structural relaxation, from the Alexandria database.

Calculated values
SG: I4/m (87)
V: 18.78 Å³/atom

abc: 9.723 9.723 3.179
angles: 90.00 90.00 90.00
Positions (direct):
1 Ag 0.081 0.211 0.000
2 Ag 0.211 0.919 0.000
3 Ag 0.289 0.581 0.500
4 Ag 0.419 0.289 0.500
5 Ag 0.581 0.711 0.500
6 Ag 0.711 0.419 0.500
7 Ag 0.789 0.081 0.000
8 Ag 0.919 0.789 0.000
9 F 0.127 0.707 0.000
10 F 0.207 0.373 0.500
11 F 0.293 0.127 0.000
12 F 0.373 0.793 0.500
13 F 0.627 0.207 0.500
14 F 0.707 0.873 0.000
15 F 0.793 0.627 0.500
16 F 0.873 0.293 0.000



*d*
The following is a PBE calculation of AgF after structural relaxation, from the Alexandria database.

Calculated values
SG: Pm-3m (221)
V: 14.00 Å³/atom

abc: 3.037 3.037 3.037
angles: 90.00 90.00 90.00
Positions (direct):
1 Ag 0.000 0.000 0.000
2 F 0.500 0.500 0.500



Most stable of them? *a*.